# 1
The following is a DFT calculation (GGA-PBEsol) of a relaxed structure of KYHf2Ru.

Values from the calculation:
Calculated formation energy, eV/f.u.: 9.2
Space group: P4/mmm (123)

The structure in POSCAR format:
```
KYHf2Ru
1.0
-2.464 3.747 1.026
-1.719 0.118 -4.560
-3.741 -2.826 1.337
Ru Y Hf K
1 1 2 1
direct
0.500 0.000 0.000
0.500 0.500 0.500
0.000 0.000 0.500
0.000 0.500 0.000
0.000 0.000 0.000
```

=====

# 2
The following is a DFT calculation (GGA-PBEsol) of a relaxed structure of LaSCl2O.

Values from the calculation:
Space group: P4/mmm (123)
Formation energy from raw total energies, eV/f.u.: -2.82

The structure in POSCAR format:
```
LaSCl2O
1.0
5.439 0.000 0.000
0.000 5.439 0.000
0.000 0.000 5.753
S Cl O La
1 2 1 1
direct
0.000 0.000 0.500
0.500 0.000 0.000
0.000 0.500 0.000
0.500 0.500 0.500
0.000 0.000 0.000
```

=====

# 3
The following is a DFT calculation (GGA-PBEsol) of a relaxed structure of ScBe2Ni.

Values from the calculation:
Calculated formation energy, eV/f.u.: 0.0
Space group: P4/mmm (123)
Distance to the lowest polymorph of the same formula, meV/atom: 271

The structure in POSCAR format:
```
ScBe2Ni
1.0
-3.136 -1.117 1.154
1.592 -1.844 2.540
-0.227 3.147 2.427
Sc Ni Be
1 1 2
direct
0.000 0.500 0.500
0.500 0.000 0.500
0.000 0.000 0.000
0.500 0.500 0.000
```

=====

# 4
The following is a DFT calculation (GGA-PBEsol) of a relaxed structure of La2PbCl.

Values from the calculation:
Space group: Fm-3m (225)
Formation energy from raw total energies, eV/f.u.: -4.16

The structure in POSCAR format:
```
La2PbCl
1.0
5.396 0.000 0.000
2.698 4.675 0.018
2.698 1.540 4.414
La Cl Pb
2 1 1
direct
0.750 0.250 0.250
0.250 0.750 0.750
0.500 0.000 0.000
0.000 0.500 0.500
```

=====

# 5
The following is a DFT calculation (GGA-PBEsol) of a relaxed structure of CsSc2Zn.

Values from the calculation:
Calculated formation energy, eV/f.u.: 1.2
Space group: R-3m (166)

The structure in POSCAR format:
```
CsSc2Zn
1.0
3.392 0.000 0.000
1.696 2.938 0.000
1.696 0.979 10.850
Sc Zn Cs
2 1 1
direct
0.105 0.105 0.684
0.895 0.895 0.316
0.500 0.500 0.500
0.000 0.000 0.000
```

=====

# 6
The following is a DFT calculation (GGA-PBEsol) of a relaxed structure of PrSn3.

Values from the calculation:
Calculated formation energy, eV/f.u.: -2.3
Space group: Pm-3m (221)

The structure in POSCAR format:
```
PrSn3
1.0
-4.207 1.470 1.508
-1.040 -4.379 1.368
1.831 0.890 4.241
Sn Pr
3 1
direct
0.500 0.000 0.500
0.000 0.500 0.500
0.500 0.500 0.000
0.000 0.000 0.000
```